(1)
Density functional theory data (PBE) for Zn2InBr after structural relaxation.

Computed properties:
DOS(E_F), states/eV per cell: 0.8
Space-group type: No. 6
Magnetization, Bohr magnetons per cell: 0.00
Raw formation energy, meV/atom: -17
Density, g/cm3: 5.21

Cell and atoms, written as CIF:
```
data_Zn2InBr
_chemical_formula_sum 'Zn2 In1 Br1'
_cell_length_a 4.522
_cell_length_b 4.613
_cell_length_c 5.118
_cell_angle_alpha 76.21
_cell_angle_beta 90.00
_cell_angle_gamma 90.00
_space_group_name_H-M_alt 'P 1'
_space_group_IT_number 1
_space_group_name_Hall 'P 1'
loop_
_atom_site_label
_atom_site_type_symbol
_atom_site_fract_x
_atom_site_fract_y
_atom_site_fract_z
_atom_site_occupancy
In1 In 0.500 0.811 0.749 1
Zn1 Zn 0.500 0.211 0.201 1
Zn2 Zn 0.000 0.991 0.057 1
Br1 Br 0.000 0.487 0.493 1
```

---

(2)
Density functional theory data (PBE) for Ti4SbN after structural relaxation.

Computed properties:
DOS(E_F), states/eV per cell: 13.6
Space-group type: No. 59
Magnetization, Bohr magnetons per cell: 0.00
Raw formation energy, meV/atom: -535
Density, g/cm3: 5.33

Cell and atoms, written as CIF:
```
data_Ti4SbN
_chemical_formula_sum 'Ti8 Sb2 N2'
_cell_length_a 4.050
_cell_length_b 7.748
_cell_length_c 7.624
_cell_angle_alpha 90.00
_cell_angle_beta 90.00
_cell_angle_gamma 121.51
_space_group_name_H-M_alt 'P 1'
_space_group_IT_number 1
_space_group_name_Hall 'P 1'
loop_
_atom_site_label
_atom_site_type_symbol
_atom_site_fract_x
_atom_site_fract_y
_atom_site_fract_z
_atom_site_occupancy
N1 N 0.181 0.931 0.250 1
N2 N 0.819 0.069 0.750 1
Ti1 Ti 0.478 0.228 0.250 1
Ti2 Ti 0.979 0.729 0.049 1
Ti3 Ti 0.979 0.729 0.451 1
Ti4 Ti 0.522 0.772 0.750 1
Ti5 Ti 0.300 0.050 0.750 1
Ti6 Ti 0.021 0.271 0.549 1
Ti7 Ti 0.021 0.271 0.951 1
Ti8 Ti 0.700 0.950 0.250 1
Sb1 Sb 0.728 0.478 0.750 1
Sb2 Sb 0.272 0.522 0.250 1
```

---

(3)
Density functional theory data (PBE) for Sm2ZnGa3Cu4 after structural relaxation.

Computed properties:
DOS(E_F), states/eV per cell: 6.0
Space-group type: No. 115
Magnetization, Bohr magnetons per cell: 0.00
DFT formation energy, eV/atom: -0.395
Density, g/cm3: 7.79

Cell and atoms, written as CIF:
```
data_Sm2ZnGa3Cu4
_chemical_formula_sum 'Sm2 Zn1 Ga3 Cu4'
_cell_length_a 4.193
_cell_length_b 4.193
_cell_length_c 10.054
_cell_angle_alpha 90.00
_cell_angle_beta 90.00
_cell_angle_gamma 90.00
_space_group_name_H-M_alt 'P 1'
_space_group_IT_number 1
_space_group_name_Hall 'P 1'
loop_
_atom_site_label
_atom_site_type_symbol
_atom_site_fract_x
_atom_site_fract_y
_atom_site_fract_z
_atom_site_occupancy
Cu1 Cu 0.000 0.500 0.368 1
Cu2 Cu 0.500 0.000 0.632 1
Cu3 Cu 0.500 0.500 0.000 1
Cu4 Cu 0.000 0.000 0.000 1
Sm1 Sm 0.000 0.500 0.754 1
Sm2 Sm 0.500 0.000 0.246 1
Ga1 Ga 0.500 0.000 0.870 1
Ga2 Ga 0.000 0.000 0.500 1
Ga3 Ga 0.000 0.500 0.130 1
Zn1 Zn 0.500 0.500 0.500 1
```

---

(4)
Density functional theory data (PBE) for LiLaTbPt after structural relaxation.

Computed properties:
DOS(E_F), states/eV per cell: 3.6
Space-group type: No. 216
Magnetization, Bohr magnetons per cell: 0.00
DFT formation energy, eV/atom: -0.562
Density, g/cm3: 8.70

Cell and atoms, written as CIF:
```
data_LiLaTbPt
_chemical_formula_sum 'Li1 La1 Tb1 Pt1'
_cell_length_a 5.130
_cell_length_b 5.130
_cell_length_c 5.130
_cell_angle_alpha 60.00
_cell_angle_beta 60.00
_cell_angle_gamma 60.00
_space_group_name_H-M_alt 'P 1'
_space_group_IT_number 1
_space_group_name_Hall 'P 1'
loop_
_atom_site_label
_atom_site_type_symbol
_atom_site_fract_x
_atom_site_fract_y
_atom_site_fract_z
_atom_site_occupancy
La1 La 0.500 0.500 0.500 1
Pt1 Pt 0.750 0.750 0.750 1
Tb1 Tb 0.000 0.000 0.000 1
Li1 Li 0.250 0.250 0.250 1
```

---

(5)
Density functional theory data (PBE) for Cr3SI after structural relaxation.

Computed properties:
DOS(E_F), states/eV per cell: 6.6
Space-group type: No. 221
Magnetization, Bohr magnetons per cell: 4.36
Raw formation energy, meV/atom: 718
Density, g/cm3: 6.47

Cell and atoms, written as CIF:
```
data_Cr3SI
_chemical_formula_sum 'Cr3 S1 I1'
_cell_length_a 4.324
_cell_length_b 4.324
_cell_length_c 4.324
_cell_angle_alpha 90.00
_cell_angle_beta 90.00
_cell_angle_gamma 90.00
_space_group_name_H-M_alt 'P 1'
_space_group_IT_number 1
_space_group_name_Hall 'P 1'
loop_
_atom_site_label
_atom_site_type_symbol
_atom_site_fract_x
_atom_site_fract_y
_atom_site_fract_z
_atom_site_occupancy
S1 S 0.000 0.000 0.000 1
Cr1 Cr 0.000 0.500 0.000 1
Cr2 Cr 0.000 0.000 0.500 1
Cr3 Cr 0.500 0.000 0.000 1
I1 I 0.500 0.500 0.500 1
```

---

(6)
Density functional theory data (PBE) for MgRh2Se after structural relaxation.

Computed properties:
DOS(E_F), states/eV per cell: 3.5
Space-group type: No. 10
Magnetization, Bohr magnetons per cell: 0.00
Raw formation energy, meV/atom: -122
Density, g/cm3: 8.03

Cell and atoms, written as CIF:
```
data_MgRh2Se
_chemical_formula_sum 'Mg1 Rh2 Se1'
_cell_length_a 4.389
_cell_length_b 2.984
_cell_length_c 4.881
_cell_angle_alpha 88.60
_cell_angle_beta 90.00
_cell_angle_gamma 90.00
_space_group_name_H-M_alt 'P 1'
_space_group_IT_number 1
_space_group_name_Hall 'P 1'
loop_
_atom_site_label
_atom_site_type_symbol
_atom_site_fract_x
_atom_site_fract_y
_atom_site_fract_z
_atom_site_occupancy
Rh1 Rh 0.000 0.041 0.004 1
Rh2 Rh 0.000 0.459 0.496 1
Se1 Se 0.500 0.250 0.250 1
Mg1 Mg 0.500 0.750 0.750 1
```

---

(7)
Density functional theory data (PBE) for Ce3Si2N6 after structural relaxation.

Computed properties:
DOS(E_F), states/eV per cell: 5.4
Space-group type: No. 139
Magnetization, Bohr magnetons per cell: 0.00
Raw formation energy, meV/atom: -1238
Density, g/cm3: 7.05

Cell and atoms, written as CIF:
```
data_Ce3Si2N6
_chemical_formula_sum 'Ce3 Si2 N6'
_cell_length_a 3.706
_cell_length_b 3.706
_cell_length_c 9.960
_cell_angle_alpha 100.72
_cell_angle_beta 100.72
_cell_angle_gamma 90.00
_space_group_name_H-M_alt 'P 1'
_space_group_IT_number 1
_space_group_name_Hall 'P 1'
loop_
_atom_site_label
_atom_site_type_symbol
_atom_site_fract_x
_atom_site_fract_y
_atom_site_fract_z
_atom_site_occupancy
Ce1 Ce 0.000 0.000 0.000 1
Ce2 Ce 0.181 0.181 0.362 1
Ce3 Ce 0.819 0.819 0.638 1
Si1 Si 0.399 0.399 0.799 1
Si2 Si 0.601 0.601 0.201 1
N1 N 0.413 0.913 0.826 1
N2 N 0.913 0.413 0.826 1
N3 N 0.304 0.304 0.607 1
N4 N 0.696 0.696 0.393 1
N5 N 0.087 0.587 0.174 1
N6 N 0.587 0.087 0.174 1
```

---

(8)
Density functional theory data (PBE) for SmY2Mg after structural relaxation.

Computed properties:
DOS(E_F), states/eV per cell: 5.1
Space-group type: No. 123
Magnetization, Bohr magnetons per cell: 0.00
DFT formation energy, eV/atom: -0.039
Density, g/cm3: 4.82

Cell and atoms, written as CIF:
```
data_SmY2Mg
_chemical_formula_sum 'Sm1 Y2 Mg1'
_cell_length_a 3.656
_cell_length_b 3.656
_cell_length_c 9.091
_cell_angle_alpha 90.00
_cell_angle_beta 90.00
_cell_angle_gamma 90.00
_space_group_name_H-M_alt 'P 1'
_space_group_IT_number 1
_space_group_name_Hall 'P 1'
loop_
_atom_site_label
_atom_site_type_symbol
_atom_site_fract_x
_atom_site_fract_y
_atom_site_fract_z
_atom_site_occupancy
Y1 Y 0.000 0.000 0.773 1
Y2 Y 0.000 0.000 0.227 1
Mg1 Mg 0.500 0.500 0.000 1
Sm1 Sm 0.500 0.500 0.500 1
```